No. 1
This record from Alexandria via LeMat-Bulk describes crystalline La4Zn3Hg at its relaxed geometry. The functional is PBE.

Calculated values
The raw total energy is -0.2454 Ry/atom. The value obtained for the total magnetization is 0.00 μB per formula unit. Its density of states at the Fermi level is 1.2553 states/eV/atom.

Cell lengths 3.797, 3.797, 15.220 Å; angles 90.00, 90.00, 90.00 degrees
Fractional positions:
Zn  0.500  0.500  0.257
Zn  0.500  0.500  0.500
Zn  0.500  0.500  0.743
La  0.000  0.000  0.624
La  0.000  0.000  0.863
La  0.000  0.000  0.376
La  0.000  0.000  0.137
Hg  0.500  0.500  0.000

***

No. 2
This record from Alexandria via LeMat-Bulk describes crystalline Ce2BeCo5B2 at its relaxed geometry. The functional is PBE.

Calculated values
The raw total energy is -0.4923 Ry/atom. The value obtained for the total magnetization is 0.00 μB per formula unit. Its density of states at the Fermi level is 0.6299 states/eV/atom.

Cell lengths 3.099, 8.893, 8.893 Å; angles 90.00, 90.00, 90.00 degrees
Fractional positions:
Co  0.500  0.500  0.000
Co  0.500  0.931  0.223
Co  0.500  0.000  0.500
Co  0.500  0.777  0.931
Co  0.500  0.277  0.569
Co  0.500  0.569  0.723
Co  0.500  0.431  0.277
Co  0.500  0.069  0.777
Co  0.500  0.223  0.069
Co  0.500  0.723  0.431
Ce  0.000  0.321  0.821
Ce  0.000  0.179  0.321
Ce  0.000  0.679  0.179
Ce  0.000  0.821  0.679
B  0.000  0.883  0.383
B  0.000  0.117  0.617
B  0.000  0.383  0.117
B  0.000  0.617  0.883
Be  0.000  0.500  0.500
Be  0.000  0.000  0.000

***

No. 3
This record from Alexandria via LeMat-Bulk describes crystalline ThGa2CuNi at its relaxed geometry. The functional is PBE.

Calculated values
The raw total energy is -0.3784 Ry/atom. The value obtained for the total magnetization is 0.00 μB per formula unit. Its density of states at the Fermi level is 0.7919 states/eV/atom.

Cell lengths 4.284, 4.284, 5.691 Å; angles 112.11, 112.11, 90.00 degrees
Fractional positions:
Ni  0.250  0.750  0.500
Ga  0.630  0.630  0.260
Ga  0.370  0.370  0.740
Cu  0.750  0.250  0.500
Th  0.000  0.000  0.000

***

No. 4
This record from Alexandria via LeMat-Bulk describes crystalline Sc2CuSe at its relaxed geometry. The functional is PBE.

Calculated values
The raw total energy is -0.4323 Ry/atom. The value obtained for the total magnetization is 0.00 μB per formula unit. Its density of states at the Fermi level is 0.6031 states/eV/atom.

Cell lengths 7.056, 7.056, 7.056 Å; angles 30.42, 30.42, 30.42 degrees
Fractional positions:
Cu  0.750  0.750  0.750
Sc  0.499  0.499  0.499
Sc  0.001  0.001  0.001
Se  0.250  0.250  0.250

***

No. 5
This record from Alexandria via LeMat-Bulk describes crystalline TaIr2W at its relaxed geometry. The functional is PBE.

Calculated values
The value obtained for the total magnetization is 0.00 μB per formula unit. Its density of states at the Fermi level is 0.6391 states/eV/atom. As for the polymorph energy (0 for the lowest one): 421 meV/atom.

Cell lengths 4.478, 4.478, 4.478 Å; angles 60.00, 60.00, 60.00 degrees
Fractional positions:
Ir  0.250  0.250  0.250
Ir  0.000  0.000  0.000
W  0.750  0.750  0.750
Ta  0.500  0.500  0.500

***

No. 6
This record from Alexandria via LeMat-Bulk describes crystalline La3Sm2Y5 at its relaxed geometry. The functional is PBE.

Calculated values
The value obtained for the total magnetization is 0.00 μB per formula unit. Its density of states at the Fermi level is 1.5920 states/eV/atom. As for the polymorph energy (0 for the lowest one): 0 meV/atom.

Cell lengths 9.250, 9.235, 11.292 Å; angles 122.53, 122.56, 71.67 degrees
Fractional positions:
Y  0.725  0.475  0.950
Y  0.140  0.392  0.269
Y  0.470  0.720  0.440
Y  0.530  0.280  0.560
Y  0.026  0.776  0.551
Y  0.371  0.123  0.731
Y  0.629  0.877  0.269
Y  0.974  0.224  0.449
Y  0.860  0.608  0.731
Y  0.275  0.525  0.050
Sm  0.475  0.728  0.740
Sm  0.235  0.988  0.260
Sm  0.525  0.272  0.260
Sm  0.765  0.012  0.740
La  0.978  0.223  0.752
La  0.770  0.020  0.040
La  0.726  0.471  0.248
La  0.022  0.777  0.248
La  0.274  0.529  0.752
La  0.230  0.980  0.960

***

No. 7
This record from Alexandria via LeMat-Bulk describes crystalline ZrAsN2O at its relaxed geometry. The functional is PBE.

Calculated values
The raw total energy is -0.4996 Ry/atom. The value obtained for the total magnetization is 0.94 μB per formula unit. Its density of states at the Fermi level is 0.6238 states/eV/atom.

Cell lengths 4.304, 4.304, 4.033 Å; angles 90.00, 90.00, 90.00 degrees
Each line ends with the local moment (μB).
Fractional positions:
N  0.500  0.000  0.000  0.43
N  0.000  0.500  0.000  0.43
O  0.000  0.000  0.500  0.12
As  0.500  0.500  0.500  -0.20
Zr  0.000  0.000  0.000  -0.01